#one
{"formula": "KIrRu2", "functional": "GGA-PBE", "state": "optimized geometry", "space_group": "Cmmm", "dos_at_fermi_per_ev_cell": 8.06, "lattice": [[-0.064, 5.153, 0.604], [-4.497, -1.733, -1.920], [-0.932, -0.299, 2.453]], "species": ["Ir", "K", "Ru", "Ru"], "fractional_positions": [[0.500, 0.000, 0.500], [0.000, 0.500, 0.500], [0.000, 0.000, 0.000], [0.500, 0.500, 0.000]]}

=====

#two
{"formula": "KIrRu2", "functional": "GGA-PBE", "state": "optimized geometry", "space_group": "C2/m", "dos_at_fermi_per_ev_cell": 6.36, "lattice": [[4.661, -0.106, -0.156], [3.900, 2.554, -0.156], [0.815, 0.233, 6.635]], "species": ["Ir", "K", "Ru", "Ru"], "fractional_positions": [[0.750, 0.750, 0.750], [0.250, 0.250, 0.250], [0.021, 0.021, 0.902], [0.479, 0.479, 0.598]]}

=====

The most stable arrangement is #two, and the next structure is 414 meV per atom less stable.

=====

#one
{"formula": "KIrRu2", "functional": "GGA-PBE", "state": "optimized geometry", "space_group": "Imm2", "dos_at_fermi_per_ev_cell": 5.32, "lattice": [[5.878, -0.003, -0.004], [3.107, 4.990, 0.004], [-3.733, -3.862, 2.388]], "species": ["Ir", "K", "Ru", "Ru"], "fractional_positions": [[0.533, 0.533, 0.000], [0.247, 0.747, 0.500], [0.965, 0.965, 0.000], [0.754, 0.254, 0.500]]}

=====

#two
{"formula": "KIrRu2", "functional": "GGA-PBE", "state": "optimized geometry", "space_group": "Pmm2", "dos_at_fermi_per_ev_cell": 4.00, "lattice": [[-0.855, -1.610, -1.989], [1.596, -2.988, 1.733], [-6.619, -1.283, 3.886]], "species": ["Ir", "K", "Ru", "Ru"], "fractional_positions": [[0.000, 0.000, 0.416], [0.500, 0.500, 0.744], [0.000, 0.000, 0.090], [0.500, 0.500, 0.250]]}

=====

The most stable arrangement is #two, and the next structure is 309 meV per atom less stable.